[1]
This record from Alexandria describes CuSb2P3 after structural relaxation. The functional is GGA-PBE.

Structure (CIF):
```
data_CuSb2P3
_cell_length_a 3.647
_cell_length_b 3.647
_cell_length_c 8.800
_cell_angle_alpha 90.00
_cell_angle_beta 90.00
_cell_angle_gamma 90.00
_space_group_name_H-M_alt 'P 1'
_space_group_IT_number 1
loop_
_space_group_symop_operation_xyz
'x,y,z'
loop_
_atom_site_label
_atom_site_type_symbol
_atom_site_fract_x
_atom_site_fract_y
_atom_site_fract_z
_atom_site_occupancy
P1 P 0.500 0.000 0.616 1
Sb1 Sb 0.000 0.500 0.713 1
P2 P 0.500 0.500 0.000 1
Cu1 Cu 0.000 0.000 0.000 1
Sb2 Sb 0.500 0.000 0.287 1
P3 P 0.000 0.500 0.384 1
```

Properties
**E_tot**: -26.1 eV for the cell shown
**Total moment**: 0.000 μB per atom
**ΔE_f (raw)**: 417 meV per atom

[2]
This record from Alexandria describes CuSbP2 after structural relaxation. The functional is GGA-PBE.

Structure (CIF):
```
data_CuSbP2
_cell_length_a 3.692
_cell_length_b 6.560
_cell_length_c 13.969
_cell_angle_alpha 90.00
_cell_angle_beta 90.00
_cell_angle_gamma 90.00
_space_group_name_H-M_alt 'P 1'
_space_group_IT_number 1
loop_
_space_group_symop_operation_xyz
'x,y,z'
loop_
_atom_site_label
_atom_site_type_symbol
_atom_site_fract_x
_atom_site_fract_y
_atom_site_fract_z
_atom_site_occupancy
P1 P 0.750 0.655 0.686 1
Sb1 Sb 0.750 0.204 0.426 1
P2 P 0.750 0.155 0.814 1
P3 P 0.250 0.845 0.186 1
Cu1 Cu 0.250 0.188 0.171 1
Cu2 Cu 0.750 0.812 0.829 1
P4 P 0.250 0.186 0.591 1
P5 P 0.750 0.314 0.091 1
P6 P 0.250 0.345 0.314 1
Sb2 Sb 0.250 0.296 0.926 1
Sb3 Sb 0.250 0.796 0.574 1
Cu3 Cu 0.750 0.312 0.671 1
P7 P 0.750 0.814 0.409 1
Cu4 Cu 0.250 0.688 0.329 1
Sb4 Sb 0.750 0.704 0.074 1
P8 P 0.250 0.686 0.909 1
```

Properties
**E_tot**: -73.3 eV for the cell shown
**Total moment**: 0.000 μB per atom
**ΔE_f (raw)**: 178 meV per atom

Look up the ΔE_f (raw) of the second one.
178 meV per atom